This record from Alexandria via LeMat-Bulk describes a geometry-optimized RbBiCl14 structure. The functional is GGA-PBE.

Lattice parameters (Å, degrees): 9.7145 9.2722 8.8100 63.17 63.85 87.87
Last column: nearest neighbours and their distance in Å.
Atoms (fractional coordinates):
1 Cl 0.2665 0.9863 0.5886  1 Cl 2.08
2 Cl 0.5369 0.4431 0.9530  1 Cl 2.06
3 Cl 0.4859 0.9143 0.9528  1 Cl 2.02
4 Cl 0.4863 0.9434 0.4431  1 Cl 2.08
5 Cl 0.6829 0.0344 0.6956  1 Cl 2.02
6 Cl 0.7667 0.9063 0.2379  2 Cl 2.64-2.68, 1 Bi 2.77
7 Cl 0.6447 0.5021 0.2232  1 Cl 2.10
8 Cl 0.9155 0.5771 0.9104  1 Cl 2.65, 1 Bi 2.70
9 Cl 0.4261 0.4301 0.4691  1 Cl 2.10
10 Cl 0.4906 0.4322 0.7516  1 Cl 2.06
11 Cl 0.1938 0.7032 0.3386  1 Cl 2.08
12 Cl 0.0041 0.7890 0.3007  1 Cl 2.08
13 Cl 0.9799 0.2214 0.2706  1 Bi 2.51
14 Cl 0.0696 0.2496 0.7963  1 Bi 2.48
15 Rb 0.2079 0.6221 0.9901  7 Cl 3.29-3.60
16 Bi 0.8425 0.2455 0.0786  4 Cl 2.48-2.77

- formation energy without anion corrections (meV/atom) = -477